No. 1
DFT (PBE) results for an optimized crystal structure of ThTc2Ge4.

Geometry as extended XYZ:
```
14
Lattice="-3.916 3.916 4.126 3.916 -3.916 4.126 3.916 3.916 -4.126" Properties=species:S:1:pos:R:3 pbc="T T T"
Th 0.000 0.000 0.000
Th 0.000 3.916 2.063
Tc 1.958 -1.333 3.095
Tc 2.582 1.958 1.032
Tc 1.958 5.249 -1.032
Tc 1.333 1.958 5.158
Ge 2.804 -0.676 0.745
Ge 5.027 0.676 0.745
Ge 3.240 2.804 -1.318
Ge 4.592 -1.111 3.381
Ge 0.676 1.111 2.808
Ge 3.240 1.111 3.381
Ge 1.111 -0.676 5.444
Ge 2.804 4.592 1.318
```

For the calculated volume, the calculation gives 253.1 Å³ per cell. As for the space group: I-42d. Its energy of formation is -0.1938 eV/atom. Its crystal system is tetragonal. The mass density comes out at 9.431 g cm⁻³.

No. 2
DFT (PBE) results for an optimized crystal structure of IrRh2.

Geometry as extended XYZ:
```
12
Lattice="5.975 0.000 0.000 0.000 5.975 0.000 0.000 0.000 5.975" Properties=species:S:1:pos:R:3 pbc="T T T"
Ir 0.000 0.000 0.000
Ir 0.000 2.988 2.988
Ir 2.988 0.000 2.988
Ir 2.988 2.988 0.000
Rh 0.698 3.685 5.277
Rh 0.698 5.277 2.290
Rh 2.290 0.698 5.277
Rh 2.290 2.290 2.290
Rh 3.685 3.685 3.685
Rh 3.685 5.277 0.698
Rh 5.277 0.698 3.685
Rh 5.277 2.290 0.698
```

For the calculated volume, the calculation gives 213.3 Å³ per cell. As for the space group: Pa-3. Its energy of formation is 0.8081 eV/atom. Its crystal system is cubic. The mass density comes out at 12.394 g cm⁻³.

No. 3
DFT (PBE) results for an optimized crystal structure of FeCoCl6.

Geometry as extended XYZ:
```
16
Lattice="5.797 0.000 0.000 0.000 12.293 0.000 -1.790 0.000 5.514" Properties=species:S:1:pos:R:3 pbc="T T T"
Fe 0.000 0.000 0.000
Fe 2.899 6.146 0.000
Co -0.895 6.146 2.757
Co 2.003 0.000 2.757
Cl 0.048 4.564 4.060
Cl 0.048 7.728 4.060
Cl 0.967 6.146 1.408
Cl 0.142 0.000 4.106
Cl 1.060 1.582 1.454
Cl 1.060 10.711 1.454
Cl 2.947 1.582 4.060
Cl 2.947 10.711 4.060
Cl 3.865 0.000 1.408
Cl 3.040 6.146 4.106
Cl 3.958 4.564 1.454
Cl 3.958 7.728 1.454
```

For the calculated volume, the calculation gives 392.9 Å³ per cell. As for the space group: C2/m. Its crystal system is monoclinic. The mass density comes out at 2.768 g cm⁻³. The raw total energy is -61.9 eV per cell.

No. 4
DFT (PBE) results for an optimized crystal structure of LaPrZnCo.

Geometry as extended XYZ:
```
16
Lattice="7.227 0.000 0.000 0.000 7.227 0.000 0.000 0.000 7.227" Properties=species:S:1:pos:R:3 pbc="T T T"
La 0.000 0.000 0.000
La 0.000 3.614 3.614
La 3.614 0.000 3.614
La 3.614 3.614 0.000
Pr 0.000 0.000 3.614
Pr 0.000 3.614 0.000
Pr 3.614 0.000 0.000
Pr 3.614 3.614 3.614
Zn 1.807 1.807 5.420
Zn 1.807 5.420 1.807
Zn 5.420 1.807 1.807
Zn 5.420 5.420 5.420
Co 1.807 1.807 1.807
Co 1.807 5.420 5.420
Co 5.420 1.807 5.420
Co 5.420 5.420 1.807
```

For the calculated volume, the calculation gives 377.5 Å³ per cell. As for the space group: F-43m. Its energy of formation is -0.0899 eV/atom. Its crystal system is cubic. The mass density comes out at 7.111 g cm⁻³.